Entry 1:
Below is a relaxed Ac12Tl6Cd crystal, with properties calculated at the GGA-PBE level.

Cell and atoms, written as extended XYZ:
```
19
Lattice="-5.486 -7.973 2.176 0.597 1.247 -9.823 9.055 -0.807 3.970" Properties=species:S:1:pos:R:3 pbc="T T T"
Cd 0.000 0.000 0.000
Tl 0.982 -7.315 0.560
Tl 6.463 -3.161 -1.741
Tl 0.706 -4.260 -6.012
Tl 3.461 -3.273 2.335
Tl 3.185 -0.218 -4.237
Tl -2.296 -4.372 -1.936
Ac 0.617 -3.843 0.549
Ac 4.061 -5.229 -0.494
Ac 6.587 -1.715 -5.225
Ac -2.102 -6.598 -5.067
Ac 0.106 -2.304 -3.183
Ac 0.681 -6.072 -2.597
Ac 4.013 -7.051 2.792
Ac 0.153 -0.481 -6.469
Ac 6.268 -0.935 1.390
Ac 3.550 -3.690 -4.226
Ac -2.421 -5.818 1.548
Ac 3.485 -1.461 -1.080
```

Values from the calculation:
**E_form**: -139 meV per atom
**M_tot**: 0.000 μB per cell

---

Entry 2:
Below is a relaxed Cs8HgAu3 crystal, with properties calculated at the GGA-PBE level.

Cell and atoms, written as extended XYZ:
```
24
Lattice="-0.072 -9.668 4.147 7.133 2.537 -7.304 10.976 5.307 12.563" Properties=species:S:1:pos:R:3 pbc="T T T"
Cs 12.662 0.843 8.886
Cs 7.184 -1.793 2.589
Cs 12.553 3.761 2.053
Cs 5.873 -5.871 -0.240
Cs 12.626 -3.970 10.951
Cs 2.204 -2.166 1.400
Cs 7.220 3.020 0.524
Cs 5.907 -0.963 -2.142
Cs 10.735 -0.530 -1.048
Cs 2.167 -7.189 3.555
Cs 12.515 -1.263 4.207
Cs 9.110 -0.420 12.523
Cs 3.649 1.764 4.176
Cs 8.846 2.442 5.848
Cs 9.137 4.417 10.457
Cs 8.993 -2.378 7.956
Au 9.059 1.031 9.205
Au 4.766 0.403 1.023
Au 12.604 -2.550 7.619
Au 9.022 -3.823 11.287
Au 8.348 1.677 -2.645
Au 8.312 -3.177 -0.563
Hg 9.838 0.938 2.357
Hg 12.924 -0.477 12.456
```

Values from the calculation:
**E_form**: -202 meV per atom
**M_tot**: 0.269 μB per cell

---

Entry 3:
Below is a relaxed FeCo2Cu crystal, with properties calculated at the GGA-PBE level.

Cell and atoms, written as extended XYZ:
```
4
Lattice="-1.305 -2.105 -0.343 2.013 -1.084 -1.012 2.045 -2.339 6.571" Properties=species:S:1:pos:R:3 pbc="T T T"
Co 1.543 -1.765 4.959
Co 0.502 -0.574 1.612
Fe 0.354 -1.594 -0.678
Cu 1.376 -2.764 2.608
```

Values from the calculation:
**E_form**: 116 meV per atom
**M_tot**: 5.563 μB per cell

---

Copy entry 3 word for word.
Below is a relaxed FeCo2Cu crystal, with properties calculated at the GGA-PBE level.

Cell and atoms, written as extended XYZ:
```
4
Lattice="-1.305 -2.105 -0.343 2.013 -1.084 -1.012 2.045 -2.339 6.571" Properties=species:S:1:pos:R:3 pbc="T T T"
Co 1.543 -1.765 4.959
Co 0.502 -0.574 1.612
Fe 0.354 -1.594 -0.678
Cu 1.376 -2.764 2.608
```

Values from the calculation:
**E_form**: 116 meV per atom
**M_tot**: 5.563 μB per cell